Entry 1:
{
  "formula": "Rb2Zr2AgSe6",
  "functional": "PBE",
  "state": "optimized geometry",
  "cell": [[-5.2000, 1.1670, 4.3867], [1.3738, -6.3669, -2.2848], [6.3006, 0.4436, 5.7075]],
  "species": ["Rb", "Rb", "Se", "Se", "Se", "Se", "Se", "Se", "Ag", "Zr", "Zr"],
  "fractional_positions": [[0.8411, 0.1589, 0.0000], [0.1589, 0.8411, 0.0000], [0.4148, 0.0624, 0.6910], [0.5852, 0.9376, 0.3090], [0.7155, 0.7155, 0.6830], [0.0624, 0.4148, 0.6910], [0.2845, 0.2845, 0.3170], [0.9376, 0.5852, 0.3090], [0.0000, 0.0000, 0.5000], [0.3313, 0.6687, 0.5000], [0.6687, 0.3313, 0.5000]],
  "dos_at_fermi_per_ev_atom": 0.844,
  "raw_formation_energy_ev_per_atom": -1.064
}



Entry 2:
{
  "formula": "SrLiYC2",
  "functional": "PBE",
  "state": "optimized geometry",
  "cell": [[-3.0644, -0.0326, -3.0995], [-3.0957, -0.1896, 3.0626], [-0.1460, 4.0324, 0.1020]],
  "species": ["Y", "C", "C", "Li", "Sr"],
  "fractional_positions": [[0.5000, 0.5000, 0.5000], [0.0000, 0.5000, 0.0000], [0.5000, 0.0000, 0.0000], [0.0000, 0.0000, 0.0000], [0.0000, 0.0000, 0.5000]],
  "dos_at_fermi_per_ev_atom": 0.319,
  "e_form_ev_per_fu": 7.127
}



Entry 3:
{
  "formula": "CaMoIr2",
  "functional": "PBE",
  "state": "optimized geometry",
  "cell": [[-2.3154, 5.7793, -3.9591], [-1.3419, -4.4584, -5.7234], [-4.5156, 0.2400, -3.8837]],
  "species": ["Ir", "Ir", "Ir", "Ir", "Ca", "Ca", "Mo", "Mo"],
  "fractional_positions": [[0.3750, 0.3241, 0.7500], [0.6759, 0.1250, 0.2500], [0.8750, 0.9259, 0.7500], [0.0741, 0.6250, 0.2500], [0.5000, 0.5000, 0.0000], [0.2500, 0.7500, 0.5000], [0.7500, 0.2500, 0.5000], [0.0000, 0.0000, 0.0000]],
  "dos_at_fermi_per_ev_atom": 0.395,
  "e_form_ev_per_fu": 1.309
}



Entry 4:
{
  "formula": "BaSr3Pd",
  "functional": "PBE",
  "state": "optimized geometry",
  "cell": [[-3.9563, 0.4298, 4.7296], [-2.5839, -5.3597, -1.6743], [6.7005, -10.0937, 10.5613]],
  "species": ["Pd", "Pd", "Sr", "Sr", "Sr", "Sr", "Sr", "Sr", "Ba", "Ba"],
  "fractional_positions": [[0.9190, 0.4190, 0.1620], [0.5810, 0.0810, 0.8380], [0.1252, 0.8835, 0.7497], [0.4357, 0.4357, 0.1285], [0.5643, 0.5643, 0.8715], [0.6332, 0.8748, 0.2503], [0.1252, 0.3668, 0.7497], [0.1165, 0.8748, 0.2503], [0.0000, 0.0000, 0.0000], [0.2500, 0.7500, 0.5000]],
  "dos_at_fermi_per_ev_atom": 1.677,
  "e_form_ev_per_fu": 2.287
}



Entry 5:
{
  "formula": "Tb4Pr3Er3",
  "functional": "PBE",
  "state": "optimized geometry",
  "cell": [[-1.5261, 1.6986, 2.9320], [-8.6277, -2.0360, -3.3112], [0.1653, -8.1493, 4.8072]],
  "species": ["Er", "Er", "Er", "Pr", "Pr", "Pr", "Tb", "Tb", "Tb", "Tb"],
  "fractional_positions": [[0.0000, 0.4929, 0.9972], [0.0000, 0.0028, 0.5071], [0.5000, 0.1735, 0.8265], [0.5000, 0.6725, 0.6743], [0.5000, 0.3257, 0.3275], [0.5000, 0.8275, 0.1725], [0.0000, 0.3713, 0.6287], [0.0000, 0.8781, 0.8710], [0.0000, 0.1290, 0.1219], [0.0000, 0.6267, 0.3733]],
  "dos_at_fermi_per_ev_atom": 0.782,
  "e_form_ev_per_fu": 1.060
}



Entry 6:
{
  "formula": "NbSbIrOs2",
  "functional": "PBE",
  "state": "optimized geometry",
  "cell": [[-1.8660, 4.3032, -0.2900], [-4.2525, -1.8884, -0.6584], [-0.7788, 0.0011, 5.0270]],
  "species": ["Ir", "Sb", "Os", "Os", "Nb"],
  "fractional_positions": [[0.5000, 0.5000, 0.5000], [0.0000, 0.0000, 0.5000], [0.0000, 0.5000, 0.0000], [0.5000, 0.0000, 0.0000], [0.0000, 0.0000, 0.0000]],
  "dos_at_fermi_per_ev_atom": 1.388,
  "raw_formation_energy_ev_per_atom": 2.230
}



Entry 7:
{
  "formula": "NaInPb2",
  "functional": "PBE",
  "state": "optimized geometry",
  "cell": [[4.0266, 0.0000, 0.0000], [0.0000, 4.0266, 0.0000], [0.0000, 0.0000, 7.2250]],
  "species": ["Pb", "Pb", "In", "Na"],
  "fractional_positions": [[0.0000, 0.0000, 0.2305], [0.0000, 0.0000, 0.7695], [0.5000, 0.5000, 0.0000], [0.5000, 0.5000, 0.5000]],
  "dos_at_fermi_per_ev_atom": 0.362,
  "e_form_ev_per_fu": -0.275
}



Entry 8:
{
  "formula": "GePPd",
  "functional": "PBE",
  "state": "optimized geometry",
  "cell": [[-1.1999, -0.6890, -2.8970], [1.1350, -6.8414, 1.1570], [-8.5418, -0.7872, 3.7250]],
  "species": ["P", "P", "P", "P", "Pd", "Pd", "Pd", "Pd", "Ge", "Ge", "Ge", "Ge"],
  "fractional_positions": [[0.0000, 0.7500, 0.8281], [0.0000, 0.2500, 0.1719], [0.5000, 0.7500, 0.6719], [0.5000, 0.2500, 0.3281], [0.0000, 0.5000, 0.0000], [0.5000, 0.0000, 0.5000], [0.5000, 0.5000, 0.5000], [0.0000, 0.0000, 0.0000], [0.0000, 0.2500, 0.6323], [0.0000, 0.7500, 0.3677], [0.5000, 0.2500, 0.8677], [0.5000, 0.7500, 0.1323]],
  "dos_at_fermi_per_ev_atom": 0.465,
  "e_form_ev_per_fu": -0.648
}



Entry 9:
{
  "formula": "TmCdAg2",
  "functional": "PBE",
  "state": "optimized geometry",
  "cell": [[-0.3062, -4.7844, 1.4062], [-1.2279, -1.2931, -4.6669], [6.4581, -0.8439, -1.4653]],
  "species": ["Tm", "Tm", "Ag", "Ag", "Ag", "Ag", "Cd", "Cd"],
  "fractional_positions": [[0.5000, 0.6990, 0.0000], [0.0000, 0.3010, 0.5000], [0.5000, 0.1997, 0.7480], [0.0000, 0.8003, 0.7520], [0.0000, 0.8003, 0.2480], [0.5000, 0.1997, 0.2520], [0.5000, 0.7147, 0.5000], [0.0000, 0.2853, 0.0000]],
  "dos_at_fermi_per_ev_atom": 0.508,
  "e_form_ev_per_fu": -1.098
}



Entry 10:
{
  "formula": "Rb3BaAu4",
  "functional": "PBE",
  "state": "optimized geometry",
  "cell": [[4.1746, 0.0000, 0.0000], [0.0000, 4.1746, 0.0000], [0.0000, 0.0000, 16.6245]],
  "species": ["Au", "Au", "Au", "Au", "Rb", "Rb", "Rb", "Ba"],
  "fractional_positions": [[0.0000, 0.0000, 0.3732], [0.0000, 0.0000, 0.6268], [0.0000, 0.0000, 0.1017], [0.0000, 0.0000, 0.8983], [0.5000, 0.5000, 0.5000], [0.5000, 0.5000, 0.7491], [0.5000, 0.5000, 0.2509], [0.5000, 0.5000, 0.0000]],
  "dos_at_fermi_per_ev_atom": 0.371,
  "e_form_ev_per_fu": -3.154
}



Entry 11:
{
  "formula": "Cd12In3Sn5",
  "functional": "PBE",
  "state": "optimized geometry",
  "cell": [[-1.0742, 14.5043, -1.8818], [-10.9378, -4.6372, 8.5982], [12.8553, -3.1726, 6.3044]],
  "species": ["Cd", "Cd", "Cd", "Cd", "Cd", "Cd", "Cd", "Cd", "Cd", "Cd", "Cd", "Cd", "Cd", "Cd", "Cd", "Cd", "Cd", "Cd", "Cd", "Cd", "Cd", "Cd", "Cd", "Cd", "Cd", "Cd", "Cd", "Cd", "Cd", "Cd", "Cd", "Cd", "Cd", "Cd", "Cd", "Cd", "Cd", "Cd", "Cd", "Cd", "Cd", "Cd", "Cd", "Cd", "Cd", "Cd", "Cd", "Cd", "In", "In", "In", "In", "In", "In", "In", "In", "In", "In", "In", "In", "Sn", "Sn", "Sn", "Sn", "Sn", "Sn", "Sn", "Sn", "Sn", "Sn", "Sn", "Sn", "Sn", "Sn", "Sn", "Sn", "Sn", "Sn", "Sn", "Sn"],
  "fractional_positions": [[0.8996, 0.0692, 0.6329], [0.6329, 0.5692, 0.8996], [0.7333, 0.6004, 0.1696], [0.8671, 0.2667, 0.4363], [0.9308, 0.8304, 0.5637], [0.7667, 0.3304, 0.8996], [0.3996, 0.2667, 0.3304], [0.0637, 0.6329, 0.7333], [0.3671, 0.4308, 0.1004], [0.8304, 0.9308, 0.0637], [0.0692, 0.1696, 0.4363], [0.7333, 0.1329, 0.0637], [0.1696, 0.1004, 0.7333], [0.1004, 0.1696, 0.2333], [0.9363, 0.3671, 0.2667], [0.2333, 0.6696, 0.1004], [0.1329, 0.7333, 0.5637], [0.6004, 0.7333, 0.6696], [0.8996, 0.8304, 0.7667], [0.9308, 0.1004, 0.8671], [0.0637, 0.4308, 0.8304], [0.1696, 0.0692, 0.9363], [0.6696, 0.4363, 0.5692], [0.2667, 0.8671, 0.9363], [0.4363, 0.7667, 0.8671], [0.4363, 0.6696, 0.0692], [0.6696, 0.2333, 0.6004], [0.1004, 0.9308, 0.3671], [0.6004, 0.8671, 0.4308], [0.2667, 0.3996, 0.8304], [0.3671, 0.9363, 0.7667], [0.5692, 0.6329, 0.3996], [0.8304, 0.8996, 0.2667], [0.2333, 0.5637, 0.6329], [0.3996, 0.1329, 0.5692], [0.5637, 0.2333, 0.1329], [0.0692, 0.8996, 0.1329], [0.5637, 0.3304, 0.9308], [0.3304, 0.5637, 0.4308], [0.8671, 0.6004, 0.9308], [0.3304, 0.7667, 0.3996], [0.9363, 0.5692, 0.1696], [0.6329, 0.0637, 0.2333], [0.4308, 0.0637, 0.3304], [0.7667, 0.4363, 0.3671], [0.4308, 0.3671, 0.6004], [0.5692, 0.9363, 0.6696], [0.1329, 0.3996, 0.0692], [0.3750, 0.7500, 0.6250], [0.2500, 0.6250, 0.8750], [0.7500, 0.8750, 0.6250], [0.8750, 0.7500, 0.1250], [0.6250, 0.3750, 0.7500], [0.8750, 0.1250, 0.2500], [0.3750, 0.6250, 0.2500], [0.1250, 0.8750, 0.7500], [0.6250, 0.2500, 0.3750], [0.2500, 0.1250, 0.3750], [0.7500, 0.3750, 0.1250], [0.1250, 0.2500, 0.8750], [0.2500, 0.8750, 0.1250], [0.8750, 0.2500, 0.6250], [0.1250, 0.7500, 0.3750], [0.3750, 0.1250, 0.7500], [0.0000, 0.0000, 0.5000], [0.6250, 0.7500, 0.8750], [0.2500, 0.3750, 0.6250], [0.8750, 0.6250, 0.7500], [0.3750, 0.2500, 0.1250], [0.0000, 0.5000, 0.0000], [0.0000, 0.0000, 0.0000], [0.5000, 0.5000, 0.0000], [0.7500, 0.1250, 0.8750], [0.7500, 0.6250, 0.3750], [0.1250, 0.3750, 0.2500], [0.5000, 0.0000, 0.5000], [0.5000, 0.0000, 0.0000], [0.6250, 0.8750, 0.2500], [0.5000, 0.5000, 0.5000], [0.0000, 0.5000, 0.5000]],
  "dos_at_fermi_per_ev_atom": 0.505,
  "e_form_ev_per_fu": 3.706
}



Entry 12:
{
  "formula": "InBr2Cl",
  "functional": "PBE",
  "state": "optimized geometry",
  "cell": [[3.7292, -0.0001, 1.1358], [-0.0255, 5.1703, 0.0837], [-0.3033, 0.0280, 7.6675]],
  "species": ["Br", "Br", "Cl", "In"],
  "fractional_positions": [[0.3748, 0.9925, 0.2538], [0.6279, 0.0075, 0.7462], [0.9948, 0.5000, 0.0000], [0.0025, 0.0000, 0.0000]],
  "dos_at_fermi_per_ev_atom": 0.000,
  "raw_formation_energy_ev_per_atom": -0.844
}



Entry 13:
{
  "formula": "TlSb2",
  "functional": "PBE",
  "state": "optimized geometry",
  "cell": [[3.7067, -2.9287, 11.3902], [7.2047, 1.3627, 9.9141], [-7.3133, 2.6721, -9.5619]],
  "species": ["Sb", "Sb", "Sb", "Sb", "Tl", "Tl"],
  "fractional_positions": [[0.1666, 0.6666, 0.5000], [0.3334, 0.8334, 0.5000], [0.4166, 0.4166, 0.0000], [0.5834, 0.5834, 0.0000], [0.0000, 0.0000, 0.0000], [0.7500, 0.2500, 0.5000]],
  "dos_at_fermi_per_ev_atom": 0.426,
  "raw_formation_energy_ev_per_atom": 0.103
}



Entry 14:
{
  "formula": "ScGa4Co",
  "functional": "PBE",
  "state": "optimized geometry",
  "cell": [[4.8075, -0.0208, -1.2463], [-0.5205, 5.7311, -2.1036], [-0.7370, -0.5101, 7.7158]],
  "species": ["Co", "Co", "Ga", "Ga", "Ga", "Ga", "Ga", "Ga", "Ga", "Ga", "Sc", "Sc"],
  "fractional_positions": [[0.7081, 0.4738, 0.9476], [0.2919, 0.5262, 0.0524], [0.0000, 0.1913, 0.0000], [0.6440, 0.3363, 0.2223], [0.6440, 0.8860, 0.2223], [0.8716, 0.3338, 0.6676], [0.3560, 0.6637, 0.7777], [0.3560, 0.1140, 0.7777], [0.0000, 0.8087, 0.0000], [0.1284, 0.6662, 0.3324], [0.2150, 0.2095, 0.4191], [0.7850, 0.7905, 0.5809]],
  "dos_at_fermi_per_ev_atom": 0.609,
  "e_form_ev_per_fu": -1.667
}



Entry 15:
{
  "formula": "Ti2Be2Cr",
  "functional": "PBE",
  "state": "optimized geometry",
  "cell": [[3.4198, 0.0000, 0.0000], [0.0000, 3.4198, 0.0000], [1.7099, 1.7099, 5.4297]],
  "species": ["Ti", "Ti", "Be", "Be", "Cr"],
  "fractional_positions": [[0.7500, 0.2500, 0.5000], [0.2500, 0.7500, 0.5000], [0.4132, 0.4132, 0.1737], [0.5868, 0.5868, 0.8263], [0.0000, 0.0000, 0.0000]],
  "dos_at_fermi_per_ev_atom": 0.855,
  "e_form_ev_per_fu": 2.054
}



Entry 16:
{
  "formula": "NaAc2PuO8",
  "functional": "PBE",
  "state": "optimized geometry",
  "cell": [[4.3773, -0.3787, -0.0018], [-0.3341, 5.5055, -0.0053], [0.0041, 0.0082, 8.2447]],
  "species": ["O", "O", "O", "O", "O", "O", "O", "O", "Ac", "Ac", "Na", "Pu"],
  "fractional_positions": [[0.4565, 0.2777, 0.5000], [0.0595, 0.7725, 0.8171], [0.9404, 0.2275, 0.8171], [0.5435, 0.7223, 0.5000], [0.5884, 0.7914, 0.0000], [0.9405, 0.2275, 0.1829], [0.4116, 0.2086, 0.0000], [0.0596, 0.7725, 0.1829], [0.5000, 0.5000, 0.7535], [0.5000, 0.5000, 0.2465], [0.0000, 0.0000, 0.5000], [0.0000, 0.0000, 0.0000]],
  "dos_at_fermi_per_ev_atom": 0.187,
  "raw_formation_energy_ev_per_atom": -2.396
}



Entry 17:
{
  "formula": "LiZr2Nb2",
  "functional": "PBE",
  "state": "optimized geometry",
  "cell": [[-3.4759, -6.2433, -1.5717], [1.9462, -2.7215, 6.5066], [-3.2667, 1.4229, 1.5722]],
  "species": ["Zr", "Zr", "Zr", "Zr", "Nb", "Nb", "Nb", "Nb", "Li", "Li"],
  "fractional_positions": [[0.1653, 0.6653, 0.5000], [0.3347, 0.1653, 0.5000], [0.8347, 0.3347, 0.5000], [0.6653, 0.8347, 0.5000], [0.3698, 0.8698, 0.0000], [0.1302, 0.3698, 0.0000], [0.8698, 0.6302, 0.0000], [0.6302, 0.1302, 0.0000], [0.0000, 0.0000, 0.0000], [0.5000, 0.5000, 0.0000]],
  "dos_at_fermi_per_ev_atom": 0.942,
  "e_form_ev_per_fu": 1.642
}



Entry 18:
{
  "formula": "RbSc3Br",
  "functional": "PBE",
  "state": "optimized geometry",
  "cell": [[-4.0167, -1.5462, 3.2008], [1.5149, -5.1138, -0.5692], [3.2157, 0.4778, 4.2662]],
  "species": ["Sc", "Sc", "Sc", "Rb", "Br"],
  "fractional_positions": [[0.5000, 0.0000, 0.0000], [0.0000, 0.5000, 0.0000], [0.0000, 0.0000, 0.5000], [0.5000, 0.5000, 0.5000], [0.0000, 0.0000, 0.0000]],
  "dos_at_fermi_per_ev_atom": 1.984,
  "raw_formation_energy_ev_per_atom": 0.400
}



Entry 19:
{
  "formula": "Ac5Pm4Tm2",
  "functional": "PBE",
  "state": "optimized geometry",
  "cell": [[3.6837, 0.0000, 0.0000], [0.0000, 10.4547, -6.8105], [0.0000, -5.6810, 14.8718]],
  "species": ["Tm", "Tm", "Pm", "Pm", "Pm", "Pm", "Ac", "Ac", "Ac", "Ac", "Ac"],
  "fractional_positions": [[0.0000, 0.0326, 0.6558], [0.0000, 0.9674, 0.3442], [0.5000, 0.3149, 0.4612], [0.5000, 0.1564, 0.9225], [0.5000, 0.8436, 0.0775], [0.5000, 0.6851, 0.5388], [0.0000, 0.2237, 0.1985], [0.0000, 0.6090, 0.2877], [0.0000, 0.5000, 0.0000], [0.0000, 0.7763, 0.8015], [0.0000, 0.3910, 0.7123]],
  "dos_at_fermi_per_ev_atom": 1.812,
  "e_form_ev_per_fu": 1.873
}



Entry 20:
{
  "formula": "CsInGe2Mo",
  "functional": "PBE",
  "state": "optimized geometry",
  "cell": [[-0.2367, 1.9334, 5.6310], [-1.7894, -4.9603, 1.6279], [5.6315, -1.7559, 0.8397]],
  "species": ["In", "Cs", "Ge", "Ge", "Mo"],
  "fractional_positions": [[0.5000, 0.5000, 0.5000], [0.0000, 0.0000, 0.0000], [0.0000, 0.0000, 0.5000], [0.5000, 0.0000, 0.0000], [0.0000, 0.5000, 0.0000]],
  "dos_at_fermi_per_ev_atom": 1.055,
  "e_form_ev_per_fu": 11.005
}